(1)
A geometry-optimized NaAu2Cl structure. Source: Alexandria via LeMat-Bulk, functional PBE-GGA.

a b c (Å): 6.9366 6.9366 6.9366
angles (deg): 90.00 90.00 90.00
Closest atoms and distances in Å follow each position.
Space group Fm-3m (No. 225)
Asymmetric unit:
Na  0.0000  0.0000  0.0000 [4 per cell]  8 Au 3.00
Au  0.2500  0.2500  0.2500 [8 per cell]  4 Cl 3.00, 4 Na 3.00
Cl  0.0000  0.0000  0.5000 [4 per cell]  8 Au 3.00

Values from the calculation:
Total moment, μB per formula unit: 0.000
DFT total energy, eV/atom: -2.333
Formation energy without anion corrections, eV/atom: 0.0974
DOS(E_F), states/eV/f.u.: 0.563

(2)
A geometry-optimized MgIr3Pt structure. Source: Alexandria via LeMat-Bulk, functional PBE-GGA.

a b c (Å): 4.8295 4.8295 4.8295
angles (deg): 90.00 90.00 90.00
Closest atoms and distances in Å follow each position.
Space group Pm-3m (No. 221)
Asymmetric unit:
Mg  0.0000  0.0000  0.0000 [1 per cell]  12 Ir 3.42
Ir  0.0000  0.5000  0.5000 [3 per cell]  2 Pt 2.41
Pt  0.5000  0.5000  0.5000 [1 per cell]  6 Ir 2.41

Values from the calculation:
Total moment, μB per formula unit: 3.327
DFT total energy, eV/atom: -5.237
DFT formation energy, kJ/mol of atoms: 155
DOS(E_F), states/eV/f.u.: 6.154

(3)
A geometry-optimized TlRu2 structure. Source: Alexandria via LeMat-Bulk, functional PBE-GGA.

a b c (Å): 4.6585 4.6585 5.4201
angles (deg): 90.00 90.00 120.00
Closest atoms and distances in Å follow each position.
Space group P6_3/mmc (No. 194)
Asymmetric unit:
Tl  0.3333  0.6667  0.2500 [2 per cell]  11 Ru 2.69-3.01
Ru  0.0000  0.0000  0.0000 [2 per cell]  8 Ru 2.71-3.01, 6 Tl 3.01
Ru  0.3333  0.6667  0.7500 [2 per cell]  5 Tl 2.69-2.71, 6 Ru 3.01

Values from the calculation:
Total moment, μB per formula unit: 1.567
DFT total energy, eV/atom: -6.210
DFT formation energy, kJ/mol of atoms: 74
DOS(E_F), states/eV/f.u.: 3.582

(4)
A geometry-optimized HoBeNi structure. Source: Alexandria via LeMat-Bulk, functional PBE-GGA.

a b c (Å): 3.6341 3.6341 13.5997
angles (deg): 90.00 90.00 120.00
Closest atoms and distances in Å follow each position.
Space group R3m (No. 160, hexagonal axes)
Asymmetric unit:
Ho  0.0000  0.0000  0.0000 [3 per cell]  4 Be 2.73-2.76
Be  0.0000  0.0000  0.7990 [3 per cell]  3 Ni 2.16
Ni  0.0000  0.0000  0.5023 [3 per cell]  3 Be 2.16

Values from the calculation:
Total moment, μB per formula unit: 0.000
DFT total energy, eV/atom: -4.727
DFT formation energy, kJ/mol of atoms: -3
DOS(E_F), states/eV/f.u.: 2.374

Number 1: calculated density 9.0 g cm⁻³. Number 2: calculated density 11.7 g cm⁻³. Number 3: calculated density 13.3 g cm⁻³. Number 4: calculated density 7.5 g cm⁻³.